Here is an optimized crystal structure of Li2Ta2IrS6 from Alexandria via LeMat-Bulk. Energies are from GGA-PBE.

Geometry as extended XYZ:
```
11
Lattice="6.032 -0.125 0.128 -3.090 5.181 0.128 -0.963 -1.656 6.334" Properties=species:S:1:pos:R:3 pbc="T T T"
Li 4.456 0.791 0.128
Li -1.514 4.265 0.128
Ta -0.245 2.418 3.295
Ta 2.223 0.982 3.295
Ir -0.482 -0.828 3.167
S 1.500 2.579 4.995
S -1.625 0.824 4.574
S 0.478 0.822 1.595
S 1.520 -1.006 4.574
S 3.604 2.576 2.016
S 0.458 4.406 2.016
```

Computed properties:
space-group type	C2/m, No. 12

=====

Here is an optimized crystal structure of Li2TiIr2S6 from Alexandria via LeMat-Bulk. Energies are from GGA-PBE.

Geometry as extended XYZ:
```
11
Lattice="6.076 -0.005 0.046 -3.008 5.280 0.046 -1.109 -1.906 6.068" Properties=species:S:1:pos:R:3 pbc="T T T"
Li 4.561 0.876 0.046
Li -1.493 4.398 0.046
Ti -0.555 -0.953 3.034
Ir -0.538 2.567 3.081
Ir 2.498 0.801 3.081
S 1.467 2.522 4.427
S -1.607 0.851 4.377
S 0.492 0.846 1.734
S 1.534 -0.976 4.377
S 3.566 2.517 1.784
S 0.425 4.344 1.784
```

Computed properties:
space-group type	C2/m, No. 12

=====

Here is an optimized crystal structure of Li3U3IrS8 from Alexandria via LeMat-Bulk. Energies are from GGA-PBE.

Geometry as extended XYZ:
```
15
Lattice="-6.835 1.882 -2.060 2.869 -6.446 -2.177 -2.004 0.838 7.408" Properties=species:S:1:pos:R:3 pbc="T T T"
Li 0.000 0.000 0.000
Li 1.435 -3.223 -1.088
Li -1.983 -2.282 -2.119
U -4.419 1.360 2.674
U -2.985 -1.863 1.586
U 0.432 -2.804 2.616
Ir -1.002 0.419 3.704
S -0.741 -2.501 0.172
S -5.229 -1.225 2.999
S -4.231 -1.793 -0.827
S -1.738 -1.933 3.998
S -2.925 -4.728 -1.818
S -3.045 1.002 4.989
S 0.797 -5.753 -0.697
S -6.767 2.027 3.868
```

Computed properties:
space-group type	R-3m, No. 166

=====

Here is an optimized crystal structure of LiIrW2S from Alexandria via LeMat-Bulk. Energies are from GGA-PBE.

Geometry as extended XYZ:
```
5
Lattice="4.473 0.000 0.000 0.000 3.587 0.000 0.000 0.000 4.473" Properties=species:S:1:pos:R:3 pbc="T T T"
S 0.000 1.793 0.000
Ir 2.237 1.793 2.237
W 0.000 0.000 2.237
W 2.237 0.000 0.000
Li 0.000 0.000 0.000
```

Computed properties:
space-group type	P4/mmm, No. 123

=====

Here is an optimized crystal structure of Li2SbIr from Alexandria via LeMat-Bulk. Energies are from GGA-PBE.

Geometry as extended XYZ:
```
4
Lattice="3.141 0.000 0.000 0.000 3.707 0.000 0.000 0.000 5.689" Properties=species:S:1:pos:R:3 pbc="T T T"
Ir 1.570 1.853 4.239
Li 0.000 0.000 5.680
Li 1.570 1.853 1.325
Sb 0.000 0.000 2.980
```

Computed properties:
space-group type	Pmm2, No. 25

=====

Here is an optimized crystal structure of LiSbIr2 from Alexandria via LeMat-Bulk. Energies are from GGA-PBE.

Geometry as extended XYZ:
```
4
Lattice="-0.618 -4.180 -1.642 2.392 -0.876 1.328 -2.849 -1.116 3.913" Properties=species:S:1:pos:R:3 pbc="T T T"
Ir 2.239 -0.869 1.370
Ir -0.075 -1.002 2.579
Li -0.423 -2.588 0.489
Sb -0.652 -3.583 3.110
```

Computed properties:
space-group type	P2/m, No. 10

=====

Here is an optimized crystal structure of LiSbIr2 from Alexandria via LeMat-Bulk. Energies are from GGA-PBE.

Geometry as extended XYZ:
```
4
Lattice="-2.705 0.180 1.974 -1.971 -0.596 -2.646 0.348 -5.498 0.978" Properties=species:S:1:pos:R:3 pbc="T T T"
Ir 0.344 -5.432 0.966
Ir -2.240 -1.753 -0.061
Li 0.165 -2.601 0.463
Sb -2.074 -4.374 0.405
```

Computed properties:
space-group type	P4mm, No. 99

=====

Here is an optimized crystal structure of LiSbIr2 from Alexandria via LeMat-Bulk. Energies are from GGA-PBE.

Geometry as extended XYZ:
```
4
Lattice="-0.890 6.920 5.781 0.170 4.871 7.638 2.032 6.484 5.994" Properties=species:S:1:pos:R:3 pbc="T T T"
Ir 1.310 18.232 19.368
Ir 0.329 4.577 4.862
Li 0.665 9.253 9.830
Sb 0.979 13.622 14.471
```

Computed properties:
space-group type	R3m, No. 160

=====

Here is an optimized crystal structure of LiSbIr2 from Alexandria via LeMat-Bulk. Energies are from GGA-PBE.

Geometry as extended XYZ:
```
4
Lattice="-4.161 0.355 2.123 -4.621 0.106 -0.765 -0.866 -4.729 0.545" Properties=species:S:1:pos:R:3 pbc="T T T"
Ir -9.624 -4.225 1.896
Ir -4.847 -2.178 0.959
Li -7.236 -3.202 1.428
Sb -2.412 -1.067 0.476
```

Computed properties:
space-group type	C2/m, No. 12

=====

Here is an optimized crystal structure of LiSbIr2 from Alexandria via LeMat-Bulk. Energies are from GGA-PBE.

Geometry as extended XYZ:
```
4
Lattice="4.078 0.000 0.000 0.000 4.078 0.000 0.000 0.000 3.664" Properties=species:S:1:pos:R:3 pbc="T T T"
Ir 0.000 0.000 0.000
Ir 2.039 2.039 0.000
Li 2.039 0.000 1.832
Sb 0.000 2.039 1.832
```

Computed properties:
space-group type	P4/mmm, No. 123

=====

Here is an optimized crystal structure of LiSbIr2 from Alexandria via LeMat-Bulk. Energies are from GGA-PBE.

Geometry as extended XYZ:
```
4
Lattice="3.203 0.000 0.000 0.000 3.203 0.000 0.000 0.000 5.936" Properties=species:S:1:pos:R:3 pbc="T T T"
Ir 0.000 0.000 0.086
Ir 0.000 0.000 2.882
Li 1.601 1.601 1.484
Sb 1.601 1.601 4.452
```

Computed properties:
space-group type	P4/mmm, No. 123

=====

Here is an optimized crystal structure of Li2SbIr from Alexandria via LeMat-Bulk. Energies are from GGA-PBE.

Geometry as extended XYZ:
```
4
Lattice="-2.255 -1.069 3.271 2.469 -0.141 1.656 1.883 4.985 2.927" Properties=species:S:1:pos:R:3 pbc="T T T"
Ir 2.136 3.098 5.073
Li 1.896 4.838 2.888
Li 2.163 2.569 2.331
Sb -0.040 0.677 2.781
```

Computed properties:
space-group type	P2/m, No. 10

=====

Formation energy without anion corrections across the listed records, respectively: -9.690 -9.132 -17.790 6.900 -0.936 0.112 0.320 0.978 -0.235 -0.687 -0.099 -0.785 eV per formula unit.